No. 1
# NaNbGe2O8 (PBE, optimized geometry)
# Formation energy (no corrections): -1.5400 eV per atom
# Final energy: -78.77 eV/cell
data_NaNbGe2O8
_space_group_name_H-M_alt 'P 1'
_space_group_IT_number 1
_cell_length_a 4.7136
_cell_length_b 4.7136
_cell_length_c 6.2485
_cell_angle_alpha 90.00
_cell_angle_beta 90.00
_cell_angle_gamma 92.93
loop_
_space_group_symop_operation_xyz
'x,y,z'
loop_
_atom_site_label
_atom_site_fract_x
_atom_site_fract_y
_atom_site_fract_z
Na1 0.0000 0.0000 0.0000
Nb1 0.0000 0.0000 0.5000
Ge1 0.5000 0.5000 0.2618
Ge2 0.5000 0.5000 0.7382
O1 0.2163 0.2163 0.2780
O2 0.2163 0.2163 0.7220
O3 0.3080 0.6920 0.5000
O4 0.3427 0.6573 0.0000
O5 0.6573 0.3427 0.0000
O6 0.6920 0.3080 0.5000
O7 0.7837 0.7837 0.2780
O8 0.7837 0.7837 0.7220


No. 2
# NaNbGeOs2 (PBE, optimized geometry)
# Formation enthalpy at 0 K: 1.41 eV/atom
# Final energy: -31.44 eV/cell
data_NaNbGeOs2
_space_group_name_H-M_alt 'P 1'
_space_group_IT_number 1
_cell_length_a 4.6088
_cell_length_b 4.6088
_cell_length_c 4.7956
_cell_angle_alpha 90.00
_cell_angle_beta 90.00
_cell_angle_gamma 90.00
loop_
_space_group_symop_operation_xyz
'x,y,z'
loop_
_atom_site_label
_atom_site_fract_x
_atom_site_fract_y
_atom_site_fract_z
Na1 0.0000 0.0000 0.0000
Nb1 0.5000 0.5000 0.0000
Ge1 0.5000 0.5000 0.5000
Os1 0.0000 0.5000 0.5000
Os2 0.5000 0.0000 0.5000


No. 3
# NaNbGe2Pb (PBE, optimized geometry)
# Formation enthalpy at 0 K: 0.17 eV/atom
# Final energy: -23.47 eV/cell
data_NaNbGe2Pb
_space_group_name_H-M_alt 'P 1'
_space_group_IT_number 1
_cell_length_a 5.0937
_cell_length_b 5.0937
_cell_length_c 5.5105
_cell_angle_alpha 90.00
_cell_angle_beta 90.00
_cell_angle_gamma 90.00
loop_
_space_group_symop_operation_xyz
'x,y,z'
loop_
_atom_site_label
_atom_site_fract_x
_atom_site_fract_y
_atom_site_fract_z
Na1 0.0000 0.0000 0.0000
Nb1 0.5000 0.5000 0.5000
Ge1 0.0000 0.5000 0.5000
Ge2 0.5000 0.0000 0.5000
Pb1 0.5000 0.5000 0.0000


No. 4
# Na2NbGePt (PBE, optimized geometry)
# Formation enthalpy at 0 K: 1.18 eV/atom
# Final energy: -17.45 eV/cell
data_Na2NbGePt
_space_group_name_H-M_alt 'P 1'
_space_group_IT_number 1
_cell_length_a 5.5994
_cell_length_b 5.5994
_cell_length_c 4.8162
_cell_angle_alpha 90.00
_cell_angle_beta 90.00
_cell_angle_gamma 90.00
loop_
_space_group_symop_operation_xyz
'x,y,z'
loop_
_atom_site_label
_atom_site_fract_x
_atom_site_fract_y
_atom_site_fract_z
Na1 0.0000 0.5000 0.0000
Na2 0.5000 0.0000 0.0000
Nb1 0.0000 0.0000 0.0000
Ge1 0.5000 0.5000 0.5000
Pt1 0.0000 0.0000 0.5000


No. 5
# Na2NbReGe (PBE, optimized geometry)
# Formation enthalpy at 0 K: 1.69 eV/atom
# Final energy: -21.35 eV/cell
data_Na2NbReGe
_space_group_name_H-M_alt 'P 1'
_space_group_IT_number 1
_cell_length_a 5.6078
_cell_length_b 5.6078
_cell_length_c 4.5880
_cell_angle_alpha 90.00
_cell_angle_beta 90.00
_cell_angle_gamma 90.00
loop_
_space_group_symop_operation_xyz
'x,y,z'
loop_
_atom_site_label
_atom_site_fract_x
_atom_site_fract_y
_atom_site_fract_z
Na1 0.0000 0.5000 0.0000
Na2 0.5000 0.0000 0.0000
Nb1 0.0000 0.0000 0.0000
Re1 0.0000 0.0000 0.5000
Ge1 0.5000 0.5000 0.5000


No. 6
# Na2ScNbGe (PBE, optimized geometry)
# Formation enthalpy at 0 K: 0.73 eV/atom
# Final energy: -20.00 eV/cell
data_Na2ScNbGe
_space_group_name_H-M_alt 'P 1'
_space_group_IT_number 1
_cell_length_a 5.1018
_cell_length_b 5.1018
_cell_length_c 5.1209
_cell_angle_alpha 90.00
_cell_angle_beta 90.00
_cell_angle_gamma 90.00
loop_
_space_group_symop_operation_xyz
'x,y,z'
loop_
_atom_site_label
_atom_site_fract_x
_atom_site_fract_y
_atom_site_fract_z
Na1 0.0000 0.5000 0.0000
Na2 0.5000 0.0000 0.0000
Sc1 0.0000 0.0000 0.5000
Nb1 0.5000 0.5000 0.5000
Ge1 0.5000 0.5000 0.0000


No. 7
# Na2NbTcGe (PBE, optimized geometry)
# Formation enthalpy at 0 K: 1.39 eV/atom
# Final energy: -20.76 eV/cell
data_Na2NbTcGe
_space_group_name_H-M_alt 'P 1'
_space_group_IT_number 1
_cell_length_a 4.8080
_cell_length_b 4.8080
_cell_length_c 4.7852
_cell_angle_alpha 90.00
_cell_angle_beta 90.00
_cell_angle_gamma 90.00
loop_
_space_group_symop_operation_xyz
'x,y,z'
loop_
_atom_site_label
_atom_site_fract_x
_atom_site_fract_y
_atom_site_fract_z
Na1 0.0000 0.5000 0.0000
Na2 0.5000 0.0000 0.0000
Nb1 0.0000 0.0000 0.5000
Tc1 0.5000 0.5000 0.5000
Ge1 0.5000 0.5000 0.0000


No. 8
# NaNdGe4 (PBE, optimized geometry)
# Formation enthalpy at 0 K: -0.29 eV/atom
# Final energy: -26.33 eV/cell
data_NaNdGe4
_space_group_name_H-M_alt 'P 1'
_space_group_IT_number 1
_cell_length_a 5.6717
_cell_length_b 5.6717
_cell_length_c 5.6717
_cell_angle_alpha 60.00
_cell_angle_beta 60.00
_cell_angle_gamma 60.00
loop_
_space_group_symop_operation_xyz
'x,y,z'
loop_
_atom_site_label
_atom_site_fract_x
_atom_site_fract_y
_atom_site_fract_z
Na1 0.0000 0.0000 0.0000
Nd1 0.2500 0.2500 0.2500
Ge1 0.1254 0.6249 0.6249
Ge2 0.6249 0.1254 0.6249
Ge3 0.6249 0.6249 0.1254
Ge4 0.6249 0.6249 0.6249


No. 9
# NaNdGe (PBE, optimized geometry)
# Formation enthalpy at 0 K: -0.33 eV/atom
# Final energy: -23.38 eV/cell
data_NaNdGe
_space_group_name_H-M_alt 'P 1'
_space_group_IT_number 1
_cell_length_a 8.6920
_cell_length_b 8.6920
_cell_length_c 8.6920
_cell_angle_alpha 34.28
_cell_angle_beta 34.28
_cell_angle_gamma 34.28
loop_
_space_group_symop_operation_xyz
'x,y,z'
loop_
_atom_site_label
_atom_site_fract_x
_atom_site_fract_y
_atom_site_fract_z
Na1 0.1333 0.1333 0.1333
Na2 0.8667 0.8667 0.8667
Nd1 0.3832 0.3832 0.3832
Nd2 0.6168 0.6168 0.6168
Ge1 0.2586 0.2586 0.2586
Ge2 0.7414 0.7414 0.7414


No. 10
# NaNdGe (PBE, optimized geometry)
# Formation enthalpy at 0 K: -0.38 eV/atom
# Final energy: -11.84 eV/cell
data_NaNdGe
_space_group_name_H-M_alt 'P 1'
_space_group_IT_number 1
_cell_length_a 4.9836
_cell_length_b 4.9836
_cell_length_c 4.9836
_cell_angle_alpha 60.00
_cell_angle_beta 60.00
_cell_angle_gamma 60.00
loop_
_space_group_symop_operation_xyz
'x,y,z'
loop_
_atom_site_label
_atom_site_fract_x
_atom_site_fract_y
_atom_site_fract_z
Na1 0.0000 0.0000 0.0000
Nd1 0.5000 0.5000 0.5000
Ge1 0.2500 0.2500 0.2500


No. 11
# NaNdGe2 (PBE, optimized geometry)
# Formation enthalpy at 0 K: -0.38 eV/atom
# Final energy: -16.86 eV/cell
data_NaNdGe2
_space_group_name_H-M_alt 'P 1'
_space_group_IT_number 1
_cell_length_a 4.5811
_cell_length_b 4.5811
_cell_length_c 4.3313
_cell_angle_alpha 90.00
_cell_angle_beta 90.00
_cell_angle_gamma 90.00
loop_
_space_group_symop_operation_xyz
'x,y,z'
loop_
_atom_site_label
_atom_site_fract_x
_atom_site_fract_y
_atom_site_fract_z
Na1 0.0000 0.0000 0.0000
Nd1 0.5000 0.5000 0.0000
Ge1 0.0000 0.5000 0.5000
Ge2 0.5000 0.0000 0.5000


No. 12
# NaNd9Ge6O26 (PBE, optimized geometry)
# Formation energy (no corrections): -2.6812 eV per atom
# Final energy: -313.46 eV/cell
data_NaNd9Ge6O26
_space_group_name_H-M_alt 'P 1'
_space_group_IT_number 1
_cell_length_a 9.8527
_cell_length_b 9.8527
_cell_length_c 7.1841
_cell_angle_alpha 90.00
_cell_angle_beta 90.00
_cell_angle_gamma 120.00
loop_
_space_group_symop_operation_xyz
'x,y,z'
loop_
_atom_site_label
_atom_site_fract_x
_atom_site_fract_y
_atom_site_fract_z
Na1 0.0000 0.0000 0.0000
Nd1 0.0000 0.0000 0.5064
Nd2 0.3333 0.6667 0.0083
Nd3 0.3333 0.6667 0.5074
Nd4 0.4276 0.1000 0.7585
Nd5 0.4372 0.3402 0.2566
Nd6 0.6598 0.0970 0.2566
Nd7 0.6725 0.5724 0.7585
Nd8 0.9000 0.3275 0.7585
Nd9 0.9030 0.5628 0.2566
Ge1 0.0390 0.3022 0.2561
Ge2 0.0638 0.7068 0.7566
Ge3 0.2632 0.9610 0.2561
Ge4 0.2932 0.3570 0.7566
Ge5 0.6430 0.9362 0.7566
Ge6 0.6978 0.7368 0.2561
O1 0.0144 0.5767 0.5626
O2 0.0148 0.5804 0.9525
O3 0.0577 0.8542 0.2624
O4 0.1458 0.2035 0.2624
O5 0.1635 0.5087 0.2580
O6 0.1859 0.1539 0.7520
O7 0.1916 0.4648 0.7583
O8 0.2732 0.8084 0.7583
O9 0.3216 0.0863 0.4540
O10 0.3452 0.8365 0.2580
O11 0.3558 0.0991 0.0749
O12 0.4196 0.4344 0.9525
O13 0.4233 0.4377 0.5626
O14 0.4913 0.6548 0.2580
O15 0.5352 0.7268 0.7583
O16 0.5623 0.9856 0.5626
O17 0.5656 0.9852 0.9525
O18 0.6667 0.3333 0.2800
O19 0.6667 0.3333 0.7616
O20 0.7433 0.6442 0.0749
O21 0.7647 0.6784 0.4540
O22 0.7965 0.9423 0.2624
O23 0.8461 0.0320 0.7520
O24 0.9009 0.2567 0.0749
O25 0.9137 0.2353 0.4540
O26 0.9680 0.8141 0.7520